# 1
Computed, not measured: Ac3CdPb4 after structural relaxation at the PBE level of DFT.

Values from the calculation:
* size of the total moment: 0.000 μB per formula unit
* ΔH_f (0 K): -296 meV/atom
* crystal system: orthorhombic
* space group: No. 71
* density: 8.838 g cm⁻³
* volume: 38.10 Å³ per atom

```
Ac3CdPb4
1.0
-4.587 -1.530 1.264
1.574 -6.523 -2.183
4.344 2.060 8.381
Ac Cd Pb
3 1 4
Cartesian
1.082 -0.750 3.020
0.249 -5.243 4.441
0.787 -3.262 -1.092
-2.294 -0.765 0.632
2.463 -2.875 5.460
-1.132 -3.118 2.002
-0.454 -5.924 1.062
1.786 -0.069 6.399
```

***

# 2
Computed, not measured: RbTl2Cd2 after structural relaxation at the PBE level of DFT.

Values from the calculation:
* size of the total moment: 0.000 μB per formula unit
* ΔH_f (0 K): -6 meV/atom
* crystal system: tetragonal
* E above lowest polymorph: 1.08 kcal/mol of atoms
* space group: No. 127
* density: 7.500 g cm⁻³
* volume: 31.84 Å³ per atom

```
RbTl2Cd2
1.0
-5.951 -5.154 5.171
-4.923 -2.092 -7.753
2.054 -2.896 -0.523
Tl Rb Cd
4 2 4
Cartesian
-3.207 -3.675 -4.558
-7.039 -6.617 -3.323
-5.614 -6.468 1.454
-1.781 -3.526 0.218
0.000 0.000 0.000
-5.437 -3.623 -1.291
-6.508 -3.743 -4.837
-8.281 -5.809 -0.359
-4.367 -3.504 2.255
-2.593 -1.438 -2.223
```

***

# 3
Computed, not measured: Sm3DyY6Tm2 after structural relaxation at the PBE level of DFT.

Values from the calculation:
* size of the total moment: 0.000 μB per formula unit
* ΔH_f (0 K): 21 meV/atom
* crystal system: monoclinic
* space group: No. 12
* density: 6.398 g cm⁻³
* volume: 32.11 Å³ per atom

```
Sm3DyY6Tm2
1.0
6.183 0.001 0.004
-3.089 5.356 0.004
-1.035 -1.792 11.633
Sm Dy Y Tm
3 1 6 2
Cartesian
-2.059 3.566 5.820
4.118 -0.001 5.820
1.029 1.783 5.820
0.000 0.000 0.000
3.089 1.779 8.766
2.061 3.569 2.880
-1.030 1.786 2.875
-0.003 3.565 8.766
-0.003 -0.004 8.761
2.062 0.000 2.875
0.002 3.571 0.004
3.092 1.786 0.004
```

***

# 4
Computed, not measured: SrAgPRu after structural relaxation at the PBE level of DFT.

Values from the calculation:
* size of the total moment: 0.000 μB per formula unit
* ΔH_f (0 K): -639 meV/atom
* crystal system: tetragonal
* space group: No. 129
* density: 6.096 g cm⁻³
* volume: 22.30 Å³ per atom

```
SrAgPRu
1.0
-1.624 -0.205 -3.679
1.603 -3.659 -0.504
-9.068 -4.558 4.258
Sr Ag P Ru
2 2 2 2
Cartesian
-2.260 -4.026 -2.083
-6.830 -4.396 2.159
-3.738 -5.075 0.832
-5.352 -3.348 -0.756
-8.103 -6.963 0.661
-0.986 -1.459 -0.585
-0.817 -1.069 -2.885
0.796 -2.796 -1.297
```

***

# 5
Computed, not measured: BaAlBCl2 after structural relaxation at the PBE level of DFT.

Values from the calculation:
* size of the total moment: 0.000 μB per formula unit
* formation energy from raw total energies: -0.30 eV/atom
* crystal system: tetragonal
* space group: No. 123
* density: 3.264 g cm⁻³
* volume: 25.03 Å³ per atom

```
BaAlBCl2
1.0
-0.494 -3.647 -4.169
3.287 -1.957 1.323
-3.208 -3.223 3.200
B Al Ba Cl
1 1 1 2
Cartesian
0.000 0.000 0.000
1.643 -0.979 0.661
-0.208 -4.414 0.177
-1.604 -1.612 1.600
-0.247 -1.824 -2.084
```

***

# 6
Computed, not measured: PPdS4 after structural relaxation at the PBE level of DFT.

Values from the calculation:
* size of the total moment: 0.000 μB per formula unit
* formation energy from raw total energies: -0.11 eV/atom
* crystal system: monoclinic
* space group: No. 12
* density: 3.617 g cm⁻³
* volume: 20.33 Å³ per atom

```
PPdS4
1.0
3.329 0.000 0.000
0.000 5.878 -0.092
0.000 -0.304 12.467
P Pd S
2 2 8
Cartesian
1.665 2.787 6.188
0.000 0.000 0.000
0.000 -0.152 6.234
1.665 2.939 -0.046
1.665 0.970 4.893
3.329 1.817 1.295
1.665 4.604 7.482
0.000 3.757 11.081
0.000 3.675 4.839
1.665 4.990 1.257
3.329 1.899 7.537
1.665 0.584 11.118
```